[1]
VASP calculation (PBE-GGA) on a relaxed structure of KBeCu2.

Calculated values
D(E_F)   1.29 states/eV/f.u.
E_form   924 meV/atom

a b c (Å): 2.7040 5.1261 4.8056
angles (deg): 90.00 90.00 90.00
Fractional positions:
1 Be 0.0000 0.5000 0.5000
2 K 0.5000 0.0000 0.5000
3 Cu 0.0000 0.0000 0.0000
4 Cu 0.5000 0.5000 0.0000

=====

[2]
VASP calculation (PBE-GGA) on a relaxed structure of KCu9P4.

Calculated values
D(E_F)   4.14 states/eV/f.u.
E_form   -24 meV/atom

a b c (Å): 8.0800 8.0800 8.3079
angles (deg): 119.10 119.10 90.00
Fractional positions:
1 K 0.7500 0.7500 0.5000
2 K 0.2500 0.2500 0.5000
3 Cu 0.0713 0.2011 0.0000
4 Cu 0.9287 0.7989 0.0000
5 Cu 0.5713 0.2989 0.0000
6 Cu 0.4287 0.7011 0.0000
7 Cu 0.2989 0.4287 0.0000
8 Cu 0.7011 0.5713 0.0000
9 Cu 0.2011 0.9287 0.0000
10 Cu 0.7989 0.0713 0.0000
11 Cu 0.0000 0.5000 0.0000
12 Cu 0.5000 0.0000 0.0000
13 Cu 0.8103 0.3103 0.3649
14 Cu 0.5546 0.0546 0.3649
15 Cu 0.9454 0.1897 0.6351
16 Cu 0.6897 0.4454 0.6351
17 Cu 0.1897 0.6897 0.6351
18 Cu 0.4454 0.9454 0.6351
19 Cu 0.3103 0.5546 0.3649
20 Cu 0.0546 0.8103 0.3649
21 P 0.2935 0.7935 0.2488
22 P 0.9553 0.4553 0.2488
23 P 0.5447 0.7065 0.7512
24 P 0.2065 0.0447 0.7512
25 P 0.7065 0.2065 0.7512
26 P 0.0447 0.5447 0.7512
27 P 0.7935 0.9553 0.2488
28 P 0.4553 0.2935 0.2488

=====

[3]
VASP calculation (PBE-GGA) on a relaxed structure of Ce2ScGe4Pt3.

Calculated values
D(E_F)   12.35 states/eV/f.u.
E_form   -922 meV/atom

a b c (Å): 4.2801 4.2801 10.9003
angles (deg): 90.00 90.00 90.00
Each line ends with the local moment (μB).
Fractional positions:
1 Ce 0.5000 0.0000 0.2380  0.59
2 Ce 0.0000 0.5000 0.7620  0.59
3 Sc 0.5000 0.5000 0.5000  -0.02
4 Ge 0.5000 0.5000 0.0000  -0.01
5 Ge 0.0000 0.0000 0.0000  0.00
6 Ge 0.5000 0.0000 0.6494  -0.01
7 Ge 0.0000 0.5000 0.3506  -0.01
8 Pt 0.0000 0.0000 0.5000  -0.02
9 Pt 0.5000 0.0000 0.8772  -0.02
10 Pt 0.0000 0.5000 0.1228  -0.02

=====

[4]
VASP calculation (PBE-GGA) on a relaxed structure of NaNbNF2.

Calculated values
D(E_F)   0.93 states/eV/f.u.
Relative energy among the computed polymorphs   0.000 kcal/mol of atoms
Formation energy from raw total energies   -1686 meV/atom

a b c (Å): 4.2815 4.2815 4.0242
angles (deg): 90.00 90.00 90.00
Each line ends with the local moment (μB).
Fractional positions:
1 Na 0.5000 0.5000 0.5000  0.00
2 Nb 0.0000 0.0000 0.0000  0.93
3 N 0.0000 0.0000 0.5000  -0.08
4 F 0.0000 0.5000 0.0000  0.02
5 F 0.5000 0.0000 0.0000  0.02

=====

[5]
VASP calculation (PBE-GGA) on a relaxed structure of CePuTc2.

Calculated values
D(E_F)   7.19 states/eV/f.u.
E_form   183 meV/atom
Relative energy among the computed polymorphs   2.999 kcal/mol of atoms

a b c (Å): 5.8552 5.3491 9.6645
angles (deg): 90.00 90.00 90.00
Each line ends with the local moment (μB).
Fractional positions:
1 Ce 0.6335 0.5472 0.2500  0.19
2 Ce 0.8664 0.0472 0.2500  0.19
3 Ce 0.3664 0.4528 0.7500  0.19
4 Ce 0.1336 0.9528 0.7500  0.19
5 Pu 0.1198 0.5277 0.2500  3.51
6 Pu 0.3802 0.0277 0.2500  3.51
7 Pu 0.8802 0.4723 0.7500  3.51
8 Pu 0.6198 0.9723 0.7500  3.51
9 Tc 0.1355 0.7013 0.0258  -0.34
10 Tc 0.3645 0.2013 0.4742  -0.34
11 Tc 0.8645 0.2987 0.5258  -0.34
12 Tc 0.6355 0.7987 0.9742  -0.34
13 Tc 0.8645 0.2987 0.9742  -0.34
14 Tc 0.6355 0.7987 0.5258  -0.34
15 Tc 0.1355 0.7013 0.4742  -0.34
16 Tc 0.3645 0.2013 0.0258  -0.34

=====

[6]
VASP calculation (PBE-GGA) on a relaxed structure of ErPaBr.

Calculated values
D(E_F)   1.95 states/eV/f.u.
Formation energy from raw total energies   -663 meV/atom

a b c (Å): 5.1324 3.6265 30.8056
angles (deg): 145.70 147.75 44.82
Fractional positions:
1 Pa 0.5583 0.7633 0.4389
2 Pa 0.4417 0.2367 0.5611
3 Er 0.5268 0.1087 0.2696
4 Er 0.4732 0.8913 0.7304
5 Br 0.3562 0.3632 0.8525
6 Br 0.6438 0.6368 0.1475

=====

[7]
VASP calculation (PBE-GGA) on a relaxed structure of K4P4O5.

Calculated values
D(E_F)   0.00 states/eV/f.u.
Formation energy from raw total energies   -1551 meV/atom

a b c (Å): 16.2154 6.1717 6.9085
angles (deg): 57.53 90.00 90.00
Fractional positions:
1 K 0.5069 0.0804 0.0495
2 K 0.0069 0.9196 0.9505
3 K 0.2111 0.3765 0.1738
4 K 0.7111 0.6235 0.8262
5 K 0.1049 0.6954 0.5946
6 K 0.6049 0.3046 0.4054
7 K 0.3321 0.6158 0.4798
8 K 0.8321 0.3842 0.5202
9 P 0.2185 0.0110 0.9601
10 P 0.7185 0.9890 0.0399
11 P 0.4592 0.7126 0.8410
12 P 0.9592 0.2874 0.1590
13 P 0.3615 0.9744 0.7224
14 P 0.8615 0.0256 0.2776
15 P 0.0237 0.3075 0.3970
16 P 0.5237 0.6925 0.6030
17 O 0.1665 0.8780 0.8683
18 O 0.6665 0.1220 0.1317
19 O 0.2020 0.9106 0.2144
20 O 0.7020 0.0894 0.7856
21 O 0.2196 0.3054 0.8070
22 O 0.7196 0.6946 0.1930
23 O 0.3159 0.9116 0.9732
24 O 0.8159 0.0884 0.0268
25 O 0.4753 0.5594 0.1015
26 O 0.9753 0.4406 0.8985

=====

[8]
VASP calculation (PBE-GGA) on a relaxed structure of Ba4Sr3Tl4.

Calculated values
D(E_F)   13.15 states/eV/f.u.
E_form   -268 meV/atom

a b c (Å): 4.2648 10.8492 11.9767
angles (deg): 116.93 100.26 90.00
Fractional positions:
1 Ba 0.3337 0.1481 0.6674
2 Ba 0.6663 0.4807 0.3326
3 Ba 0.6663 0.8519 0.3326
4 Ba 0.3337 0.5193 0.6674
5 Sr 0.0948 0.0948 0.1895
6 Sr 0.9052 0.9052 0.8105
7 Sr 0.0000 0.5000 0.0000
8 Tl 0.2673 0.7673 0.5346
9 Tl 0.7327 0.2327 0.4654
10 Tl 0.5000 0.7810 0.0000
11 Tl 0.5000 0.2190 0.0000

=====

[9]
VASP calculation (PBE-GGA) on a relaxed structure of LiTc2TeOs.

Calculated values
D(E_F)   5.55 states/eV/f.u.
Formation energy from raw total energies   1112 meV/atom

a b c (Å): 4.7191 4.6168 4.7191
angles (deg): 90.00 90.00 90.00
Each line ends with the local moment (μB).
Fractional positions:
1 Te 0.5000 0.5000 0.5000  -0.03
2 Os 0.0000 0.0000 0.0000  -0.01
3 Tc 0.0000 0.0000 0.5000  0.89
4 Tc 0.5000 0.0000 0.0000  0.55
5 Li 0.0000 0.5000 0.0000  0.00

=====

[10]
VASP calculation (PBE-GGA) on a relaxed structure of Ac2Tm2Tl3.

Calculated values
D(E_F)   6.71 states/eV/f.u.
E_form   -184 meV/atom
Relative energy among the computed polymorphs   0.000 kcal/mol of atoms

a b c (Å): 4.6292 3.6396 13.5492
angles (deg): 90.00 80.16 90.00
Each line ends with the local moment (μB).
Fractional positions:
1 Ac 0.5763 0.5000 0.8473  0.06
2 Ac 0.4237 0.5000 0.1527  0.06
3 Tm 0.7056 0.5000 0.5888  0.01
4 Tm 0.2944 0.5000 0.4112  0.01
5 Tl 0.8374 0.0000 0.3252  0.00
6 Tl 0.0000 0.0000 0.0000  0.00
7 Tl 0.1626 0.0000 0.6748  0.00

=====

[11]
VASP calculation (PBE-GGA) on a relaxed structure of ErZrTcAg.

Calculated values
D(E_F)   3.31 states/eV/f.u.
E_form   -161 meV/atom

a b c (Å): 4.8356 4.8356 4.8356
angles (deg): 60.00 60.00 60.00
Fractional positions:
1 Zr 0.0000 0.0000 0.0000
2 Tc 0.7500 0.7500 0.7500
3 Ag 0.2500 0.2500 0.2500
4 Er 0.5000 0.5000 0.5000

=====

[12]
VASP calculation (PBE-GGA) on a relaxed structure of Nd8IrPt3Br4.

Calculated values
D(E_F)   10.31 states/eV/f.u.
Formation energy from raw total energies   -1216 meV/atom

a b c (Å): 8.4311 9.1672 8.4299
angles (deg): 117.41 120.00 90.00
Fractional positions:
1 Nd 0.2294 0.6970 0.9680
2 Nd 0.2295 0.6970 0.4589
3 Nd 0.2676 0.3031 0.5351
4 Nd 0.7385 0.6970 0.9680
5 Nd 0.2615 0.3030 0.0320
6 Nd 0.7324 0.6969 0.4649
7 Nd 0.7705 0.3030 0.5411
8 Nd 0.7706 0.3030 0.0320
9 Ir 0.0000 0.5000 0.0000
10 Pt 0.5000 0.5000 0.0000
11 Pt 0.5000 0.5000 0.5000
12 Pt 0.0000 0.5000 0.5000
13 Br 0.5000 0.0000 0.0000
14 Br 0.5000 0.0000 0.5000
15 Br 0.0000 0.0000 0.0000
16 Br 0.0000 0.0000 0.5000